This record from the Open Quantum Materials Database describes a geometry-optimized TaOsNO structure. The functional is GGA-PBE.

Properties
The calculation puts the mass density at 13.98 Mg/m³.

Cell lengths 6.1547, 6.6370, 4.6666 Å; angles 90.00, 90.00, 90.00 degrees
Fractional positions:
Ta (0.0668, 0.1209, 0.0000)
Ta (0.4332, 0.1209, 0.5000)
Ta (0.5668, 0.8791, 0.0000)
Ta (0.9332, 0.8791, 0.5000)
Os (0.1639, 0.6908, 0.9055)
Os (0.3361, 0.6908, 0.4055)
Os (0.6639, 0.3092, 0.9055)
Os (0.8361, 0.3092, 0.4055)
N (0.1010, 0.1526, 0.5219)
N (0.3990, 0.1526, 0.0219)
N (0.6010, 0.8474, 0.5219)
N (0.8990, 0.8474, 0.0219)
O (0.0167, 0.5774, 0.5168)
O (0.4833, 0.5774, 0.0168)
O (0.5167, 0.4226, 0.5168)
O (0.9833, 0.4226, 0.0168)

=====

This record from the Open Quantum Materials Database describes a geometry-optimized TaOsNO structure. The functional is GGA-PBE.

Properties
The calculation puts the mass density at 15.37 Mg/m³.

Cell lengths 4.1449, 4.1449, 5.0446 Å; angles 90.00, 90.00, 90.00 degrees
Fractional positions:
Ta (0.2500, 0.7500, 0.0000)
Ta (0.7500, 0.2500, 0.0000)
Os (0.2500, 0.2500, 0.4083)
Os (0.7500, 0.7500, 0.5917)
N (0.2500, 0.2500, 0.8512)
N (0.7500, 0.7500, 0.1488)
O (0.2500, 0.7500, 0.5000)
O (0.7500, 0.2500, 0.5000)

=====

This record from the Open Quantum Materials Database describes a geometry-optimized TaOsNO structure. The functional is GGA-PBE.

Properties
The calculation puts the mass density at 15.06 Mg/m³.

Cell lengths 3.8097, 3.8097, 6.0970 Å; angles 90.00, 90.00, 90.00 degrees
Fractional positions:
Ta (0.2500, 0.2500, 0.1481)
Ta (0.7500, 0.7500, 0.8519)
Os (0.2500, 0.7500, 0.5000)
Os (0.7500, 0.2500, 0.5000)
N (0.2500, 0.2500, 0.6863)
N (0.7500, 0.7500, 0.3137)
O (0.2500, 0.7500, 0.0000)
O (0.7500, 0.2500, 0.0000)

=====

Table of relative energy among the computed polymorphs (meV per atom), in record order: 242.9; 703.4; 536.3